The following is a PBEsol calculation of crystalline RePt2Rh at its relaxed geometry, from the Alexandria database.

Unit cell a=3.848 b=3.848 c=3.890 alpha=90.00 beta=90.00 gamma=90.00
Fractional coordinates of all 4 atoms:
Re  0.000  0.000  0.000
Pt  0.000  0.500  0.500
Pt  0.500  0.000  0.500
Rh  0.500  0.500  0.000

Properties
DOS at the Fermi energy   5.63 states/eV/cell
Space-group type   P4/mmm
Total energy   -8.812 eV/atom
Magnetization   0.0 μB per formula unit
Energy relative to the lowest polymorph listed for this composition   185 meV/atom

The following is a PBEsol calculation of crystalline ReRuPt2 at its relaxed geometry, from the Alexandria database.

Unit cell a=2.716 b=3.849 c=5.503 alpha=90.00 beta=90.00 gamma=90.00
Fractional coordinates of all 4 atoms:
Re  0.000  0.000  0.000
Ru  0.500  0.500  0.227
Pt  0.000  0.000  0.484
Pt  0.500  0.500  0.745

Properties
DOS at the Fermi energy   3.87 states/eV/cell
Space-group type   Pmm2
Total energy   -9.438 eV/atom
Magnetization   0.0 μB per formula unit
Energy relative to the lowest polymorph listed for this composition   22 meV/atom

The following is a PBEsol calculation of crystalline ReRuPt2 at its relaxed geometry, from the Alexandria database.

Unit cell a=4.736 b=4.736 c=4.742 alpha=99.28 beta=99.28 gamma=33.20
Fractional coordinates of all 4 atoms:
Re  0.000  0.000  0.000
Ru  0.257  0.257  0.768
Pt  0.506  0.506  0.511
Pt  0.750  0.750  0.253

Properties
DOS at the Fermi energy   4.20 states/eV/cell
Space-group type   Cm
Total energy   -9.406 eV/atom
Magnetization   0.0 μB per formula unit
Energy relative to the lowest polymorph listed for this composition   53 meV/atom